Density functional theory data (PBE) for BaLa3Os after structural relaxation.

Cell lengths 5.914, 5.914, 13.674 Å; angles 77.51, 77.51, 90.00 degrees
Element x y z (fractional)
Os: 0.704 0.204 0.593
Os: 0.796 0.296 0.407
Ba: 0.000 0.000 0.000
Ba: 0.250 0.750 0.500
La: 0.623 0.857 0.286
La: 0.143 0.377 0.714
La: 0.143 0.910 0.714
La: 0.090 0.857 0.286
La: 0.288 0.288 0.423
La: 0.712 0.712 0.577

Values from the calculation:
Space-group type: I-4m2
E above lowest polymorph (meV/atom): 926.9
ΔE_f (meV per atom): 837